# 1
VASP calculation (PBE) on an optimized crystal structure of SrZn4Ag2.

Results
ΔE to the lowest computed polymorph, eV per atom: 0.0000

a b c (Å): 5.518 5.629 5.629
angles (deg): 75.64 60.60 60.60
Sites, in units of the cell vectors:
Sr 0.000 0.000 0.000
Zn 0.688 0.627 0.001
Zn 0.312 0.373 0.999
Zn 0.688 0.001 0.628
Zn 0.312 0.999 0.372
Ag 0.748 0.502 0.502
Ag 0.252 0.498 0.498

***

# 2
VASP calculation (PBE) on an optimized crystal structure of SrZn3Ag.

Results
ΔE to the lowest computed polymorph, eV per atom: 0.2245

a b c (Å): 4.976 4.976 4.976
angles (deg): 90.00 90.00 90.00
Sites, in units of the cell vectors:
Sr 0.500 0.500 0.500
Zn 0.000 0.500 0.000
Zn 0.000 0.000 0.500
Zn 0.500 0.000 0.000
Ag 0.000 0.000 0.000

***

# 3
VASP calculation (PBE) on an optimized crystal structure of SrZn2Ag5.

Results
Energy, eV per atom: -2.41

a b c (Å): 4.189 6.793 6.793
angles (deg): 68.45 72.04 72.04
Sites, in units of the cell vectors:
Sr 0.000 0.000 0.000
Zn 0.748 0.752 0.752
Zn 0.252 0.248 0.248
Ag 0.000 0.500 0.500
Ag 0.644 0.546 0.166
Ag 0.356 0.454 0.834
Ag 0.356 0.834 0.454
Ag 0.644 0.166 0.546

***

# 4
VASP calculation (PBE) on an optimized crystal structure of Sr3Zn8Ag3.

Results
Energy, eV per atom: -1.91

a b c (Å): 4.463 8.713 8.713
angles (deg): 67.62 75.16 75.16
Sites, in units of the cell vectors:
Sr 0.500 0.500 0.500
Sr 0.808 0.192 0.192
Sr 0.192 0.808 0.808
Zn 0.631 0.091 0.646
Zn 0.369 0.909 0.354
Zn 0.631 0.646 0.091
Zn 0.369 0.354 0.909
Zn 0.828 0.813 0.531
Zn 0.172 0.187 0.469
Zn 0.828 0.531 0.813
Zn 0.172 0.469 0.187
Ag 0.500 0.000 0.000
Ag 0.000 0.784 0.216
Ag 0.000 0.216 0.784

***

# 5
VASP calculation (PBE) on an optimized crystal structure of Sr3ZnAg3.

Results
Energy, eV per atom: -2.42

a b c (Å): 4.660 6.297 15.249
angles (deg): 85.92 81.21 68.28
Sites, in units of the cell vectors:
Sr 0.540 0.310 0.610
Sr 0.460 0.690 0.390
Sr 0.248 0.269 0.236
Sr 0.752 0.731 0.764
Sr 0.398 0.283 0.921
Sr 0.602 0.717 0.079
Zn 0.752 0.096 0.399
Zn 0.248 0.904 0.601
Ag 0.863 0.732 0.542
Ag 0.137 0.268 0.458
Ag 0.109 0.861 0.921
Ag 0.891 0.139 0.079
Ag 0.951 0.858 0.240
Ag 0.049 0.142 0.760

***

# 6
VASP calculation (PBE) on an optimized crystal structure of SrZnAg11.

Results
Energy, eV per atom: -2.71

a b c (Å): 5.494 7.304 7.308
angles (deg): 82.58 67.92 69.91
Sites, in units of the cell vectors:
Sr 0.000 0.000 0.000
Zn 0.500 0.500 0.000
Ag 0.291 0.227 0.218
Ag 0.709 0.773 0.782
Ag 0.491 0.773 0.218
Ag 0.509 0.227 0.782
Ag 0.341 0.647 0.646
Ag 0.659 0.353 0.354
Ag 0.013 0.353 0.646
Ag 0.987 0.647 0.354
Ag 0.000 0.500 0.000
Ag 0.500 0.000 0.500
Ag 0.000 0.000 0.500

***

# 7
VASP calculation (PBE) on an optimized crystal structure of Sr4ZnAg.

Results
ΔE to the lowest computed polymorph, eV per atom: 0.7176

a b c (Å): 7.328 7.328 7.328
angles (deg): 60.00 60.00 60.00
Sites, in units of the cell vectors:
Sr 0.875 0.375 0.375
Sr 0.375 0.375 0.875
Sr 0.375 0.875 0.375
Sr 0.375 0.375 0.375
Zn 0.750 0.750 0.750
Ag 0.000 0.000 0.000

***

# 8
VASP calculation (PBE) on an optimized crystal structure of SrZnAg2.

Results
Energy, eV per atom: -2.26

a b c (Å): 4.247 4.247 5.602
angles (deg): 90.00 90.00 90.00
Sites, in units of the cell vectors:
Sr 0.000 0.000 0.241
Zn 0.500 0.500 0.477
Ag 0.500 0.000 0.764
Ag 0.000 0.500 0.764

***

# 9
VASP calculation (PBE) on an optimized crystal structure of SrZn12Ag7.

Results
Energy, eV per atom: -1.73

a b c (Å): 8.235 8.235 8.235
angles (deg): 109.47 109.47 109.47
Sites, in units of the cell vectors:
Sr 0.000 0.000 0.000
Zn 0.357 0.250 0.607
Zn 0.357 0.750 0.107
Zn 0.643 0.750 0.393
Zn 0.643 0.250 0.893
Zn 0.607 0.357 0.250
Zn 0.893 0.643 0.250
Zn 0.393 0.643 0.750
Zn 0.107 0.357 0.750
Zn 0.750 0.107 0.357
Zn 0.250 0.893 0.643
Zn 0.250 0.607 0.357
Zn 0.750 0.393 0.643
Ag 0.500 0.000 0.500
Ag 0.500 0.500 0.000
Ag 0.000 0.500 0.500
Ag 0.000 0.000 0.500
Ag 0.500 0.000 0.000
Ag 0.500 0.500 0.500
Ag 0.000 0.500 0.000

***

# 10
VASP calculation (PBE) on an optimized crystal structure of Sr2ZnAg3.

Results
Energy, eV per atom: -2.48

a b c (Å): 6.289 6.289 9.508
angles (deg): 111.99 111.99 82.40
Sites, in units of the cell vectors:
Sr 0.750 0.250 0.500
Sr 0.753 0.247 0.000
Sr 0.250 0.750 0.500
Sr 0.247 0.753 0.000
Zn 0.667 0.667 0.334
Zn 0.333 0.333 0.666
Ag 0.828 0.828 0.171
Ag 0.658 0.658 0.829
Ag 0.172 0.172 0.829
Ag 0.342 0.342 0.171
Ag 0.171 0.171 0.343
Ag 0.829 0.829 0.657

***

# 11
VASP calculation (PBE) on an optimized crystal structure of SrZnAg.

Results
Energy, eV per atom: -2.21

a b c (Å): 4.785 6.080 6.168
angles (deg): 79.04 67.18 66.83
Sites, in units of the cell vectors:
Sr 0.548 0.204 0.700
Sr 0.452 0.796 0.300
Zn 0.838 0.221 0.104
Zn 0.162 0.779 0.896
Ag 0.172 0.391 0.266
Ag 0.828 0.609 0.734

***

# 12
VASP calculation (PBE) on an optimized crystal structure of Sr2Zn3Ag2.

Results
Energy, eV per atom: -2.08

a b c (Å): 4.622 6.107 7.045
angles (deg): 105.64 90.00 112.24
Sites, in units of the cell vectors:
Sr 0.826 0.652 0.270
Sr 0.174 0.348 0.730
Zn 0.500 0.000 0.000
Zn 0.561 0.123 0.377
Zn 0.439 0.877 0.623
Ag 0.901 0.802 0.804
Ag 0.099 0.198 0.196

***

# 13
VASP calculation (PBE) on an optimized crystal structure of Sr3Zn3Ag8.

Results
Energy, eV per atom: -2.48

a b c (Å): 4.718 8.814 8.751
angles (deg): 65.98 74.36 74.48
Sites, in units of the cell vectors:
Sr 0.298 0.705 0.699
Sr 0.702 0.295 0.301
Sr 0.000 0.000 0.000
Zn 0.000 0.500 0.500
Zn 0.668 0.682 0.983
Zn 0.332 0.318 0.017
Ag 0.125 0.163 0.586
Ag 0.875 0.837 0.414
Ag 0.868 0.416 0.848
Ag 0.132 0.584 0.152
Ag 0.503 0.686 0.308
Ag 0.497 0.314 0.692
Ag 0.336 0.033 0.296
Ag 0.664 0.967 0.704

***

# 14
VASP calculation (PBE) on an optimized crystal structure of SrZnAg2.

Results
Energy, eV per atom: -2.27

a b c (Å): 3.619 3.619 6.982
angles (deg): 90.00 90.00 90.00
Sites, in units of the cell vectors:
Ag 0.000 0.000 0.989
Ag 0.500 0.500 0.199
Sr 0.000 0.000 0.502
Zn 0.500 0.500 0.811

***

# 15
VASP calculation (PBE) on an optimized crystal structure of SrZnAg2.

Results
Energy, eV per atom: -2.26

a b c (Å): 5.054 5.054 5.054
angles (deg): 119.04 119.04 91.67
Sites, in units of the cell vectors:
Ag 0.000 0.000 0.000
Ag 0.250 0.750 0.500
Sr 0.500 0.500 0.000
Zn 0.750 0.250 0.500

***

# 16
VASP calculation (PBE) on an optimized crystal structure of Sr3Zn4Ag4.

Results
Energy, eV per atom: -2.20

a b c (Å): 4.622 4.306 13.997
angles (deg): 98.85 99.50 90.00
Sites, in units of the cell vectors:
Sr 0.353 0.853 0.705
Sr 0.647 0.147 0.295
Sr 0.000 0.000 0.000
Zn 0.805 0.305 0.610
Zn 0.452 0.452 0.904
Zn 0.548 0.548 0.096
Zn 0.195 0.695 0.390
Ag 0.252 0.252 0.505
Ag 0.098 0.598 0.195
Ag 0.902 0.402 0.805
Ag 0.748 0.748 0.495

***

# 17
VASP calculation (PBE) on an optimized crystal structure of SrZn3Ag3.

Results
ΔE to the lowest computed polymorph, eV per atom: 0.0158

a b c (Å): 4.715 8.222 8.222
angles (deg): 120.01 90.00 90.00
Sites, in units of the cell vectors:
Sr 0.750 0.333 0.667
Sr 0.250 0.667 0.333
Zn 0.750 0.929 0.370
Zn 0.750 0.441 0.071
Zn 0.750 0.630 0.559
Zn 0.250 0.071 0.630
Zn 0.250 0.559 0.929
Zn 0.250 0.370 0.441
Ag 0.750 0.778 0.000
Ag 0.750 0.223 0.222
Ag 0.750 0.000 0.777
Ag 0.250 0.222 0.000
Ag 0.250 0.777 0.778
Ag 0.250 0.000 0.223

***

# 18
VASP calculation (PBE) on an optimized crystal structure of SrZn3Ag.

Results
ΔE to the lowest computed polymorph, eV per atom: 1.1175

a b c (Å): 6.048 6.048 6.048
angles (deg): 90.00 90.00 90.00
Sites, in units of the cell vectors:
Sr 0.000 0.000 0.000
Zn 0.000 0.500 0.000
Zn 0.000 0.000 0.500
Zn 0.500 0.000 0.000
Ag 0.500 0.500 0.500

***

# 19
VASP calculation (PBE) on an optimized crystal structure of SrZn2Ag2.

Results
ΔE to the lowest computed polymorph, eV per atom: 0.1820

a b c (Å): 8.091 8.091 3.160
angles (deg): 90.00 90.00 90.00
Sites, in units of the cell vectors:
Sr 0.000 0.000 0.000
Sr 0.500 0.500 0.000
Zn 0.160 0.660 0.500
Zn 0.660 0.840 0.500
Zn 0.840 0.340 0.500
Zn 0.340 0.160 0.500
Ag 0.370 0.870 0.000
Ag 0.870 0.630 0.000
Ag 0.630 0.130 0.000
Ag 0.130 0.370 0.000

***

# 20
VASP calculation (PBE) on an optimized crystal structure of Sr2ZnAg.

Results
Energy, eV per atom: -1.99

a b c (Å): 3.814 3.814 8.636
angles (deg): 90.00 90.00 90.00
Sites, in units of the cell vectors:
Ag 0.500 0.500 0.694
Sr 0.000 0.000 0.928
Sr 0.500 0.500 0.324
Zn 0.000 0.000 0.553

***

no.,volume (Å³ per atom)
1,18.96
2,24.64
3,20.86
4,21.29
5,29.34
6,19.63
7,46.37
8,25.26
9,21.50
10,26.94
11,25.32
12,25.16
13,22.49
14,22.86
15,23.14
16,24.67
17,19.72
18,44.25
19,20.68
20,31.41